SrCoF: optimized geometry, PBE+U.

Unit cell a=4.1005 b=6.3264 c=6.5897 alpha=67.15 beta=71.93 gamma=71.16
Positions (direct):
1 Sr 0.8428 0.2871 0.6595
2 Sr 0.3437 0.7860 0.1587
3 F 0.4142 0.0344 0.7691
4 F 0.2721 0.5395 0.5489
5 Co 0.6121 0.1861 0.2217
6 Co 0.0745 0.3847 0.0985

Calculated values
Symmetry   P1 (1)
Volume   145.71 Å³ per cell
Electronic total energy   -4.249 eV/atom
Crystal system   triclinic